(1)
Computed, not measured: AcYTl2 after structural relaxation at the PBE level of DFT.

Cell and atoms, written as extended XYZ:
```
4
Lattice="1.969 1.137 9.977 -1.969 1.137 9.977 0.000 -2.274 9.977" Properties=species:S:1:pos:R:3 pbc="T T T"
Ac 0.000 0.000 0.000
Y 0.000 0.000 14.965
Tl 0.000 0.000 7.296
Tl 0.000 0.000 22.634
```

* calculated volume: 134.05 Å³ per cell
* ρ: 8.98 g/cm³
* total magnetic moment: 0.00 μB/cell
* calculated formation energy: -0.24 eV/atom
* space group: R-3m, No. 166

***

(2)
Computed, not measured: AcY2Tl2Zn2 after structural relaxation at the PBE level of DFT.

Cell and atoms, written as extended XYZ:
```
7
Lattice="2.426 1.401 9.454 -2.426 1.401 9.454 0.000 -2.802 9.454" Properties=species:S:1:pos:R:3 pbc="T T T"
Ac 0.000 0.000 0.000
Y 0.000 0.000 3.773
Y 0.000 0.000 24.588
Tl 0.000 0.000 7.351
Tl 0.000 0.000 21.010
Zn 0.000 0.000 12.252
Zn 0.000 0.000 16.109
```

* calculated volume: 192.81 Å³ per cell
* ρ: 8.13 g/cm³
* total magnetic moment: 0.00 μB/cell
* calculated formation energy: -0.20 eV/atom
* space group: R-3m, No. 166

***

(3)
Computed, not measured: AcYbTl2 after structural relaxation at the PBE level of DFT.

Cell and atoms, written as extended XYZ:
```
4
Lattice="0.000 4.020 4.020 4.020 0.000 4.020 4.020 4.020 0.000" Properties=species:S:1:pos:R:3 pbc="T T T"
Ac 0.000 0.000 0.000
Yb 4.020 4.020 4.020
Tl 2.010 2.010 2.010
Tl 6.030 6.030 6.030
```

* calculated volume: 129.95 Å³ per cell
* ρ: 10.34 g/cm³
* total magnetic moment: 0.00 μB/cell
* calculated formation energy: -0.42 eV/atom
* space group: Fm-3m, No. 225

***

(4)
Computed, not measured: Ac2TlZn2 after structural relaxation at the PBE level of DFT.

Cell and atoms, written as extended XYZ:
```
10
Lattice="5.815 -2.447 0.000 5.815 2.447 0.000 -5.519 0.000 10.323" Properties=species:S:1:pos:R:3 pbc="T T T"
Ac -1.644 0.000 3.418
Ac 1.667 0.000 1.056
Ac 4.445 0.000 9.267
Ac 7.755 0.000 6.905
Tl -0.418 0.000 6.741
Tl 6.529 0.000 3.582
Zn 1.856 0.000 4.587
Zn 5.021 0.000 1.087
Zn 1.090 0.000 9.237
Zn 4.255 0.000 5.736
```

* calculated volume: 293.81 Å³ per cell
* ρ: 8.92 g/cm³
* total magnetic moment: 0.00 μB/cell
* calculated formation energy: -0.27 eV/atom
* space group: C2/m, No. 12

***

(5)
Computed, not measured: Ac4Tl2Zn after structural relaxation at the PBE level of DFT.

Cell and atoms, written as extended XYZ:
```
7
Lattice="2.854 1.648 9.212 -2.854 1.648 9.212 0.000 -3.296 9.212" Properties=species:S:1:pos:R:3 pbc="T T T"
Ac 0.000 0.000 3.437
Ac 0.000 0.000 10.373
Ac 0.000 0.000 17.262
Ac 0.000 0.000 24.198
Tl 0.000 0.000 6.905
Tl 0.000 0.000 20.730
Zn 0.000 0.000 13.817
```

* calculated volume: 259.94 Å³ per cell
* ρ: 8.83 g/cm³
* total magnetic moment: 0.00 μB/cell
* calculated formation energy: -0.21 eV/atom
* space group: R-3m, No. 166

***

(6)
Computed, not measured: Ac4Tl3Zn after structural relaxation at the PBE level of DFT.

Cell and atoms, written as extended XYZ:
```
8
Lattice="4.722 0.000 0.000 0.000 4.915 0.000 0.000 0.000 12.223" Properties=species:S:1:pos:R:3 pbc="T T T"
Ac 0.000 0.000 0.000
Ac 0.000 2.457 5.871
Ac 2.361 0.000 8.673
Ac 2.361 2.457 2.629
Tl 0.000 2.457 9.363
Tl 2.361 0.000 5.177
Tl 2.361 2.457 11.419
Zn 0.000 0.000 3.389
```

* calculated volume: 283.69 Å³ per cell
* ρ: 9.29 g/cm³
* total magnetic moment: 0.00 μB/cell
* calculated formation energy: -0.29 eV/atom
* space group: Pmm2, No. 25

***

(7)
Computed, not measured: AcTlZn after structural relaxation at the PBE level of DFT.

Cell and atoms, written as extended XYZ:
```
3
Lattice="-1.884 1.884 6.064 1.884 -1.884 6.064 1.884 1.884 -6.064" Properties=species:S:1:pos:R:3 pbc="T T T"
Ac 0.000 0.000 0.000
Tl 0.000 0.000 8.489
Zn 0.000 0.000 3.996
```

* calculated volume: 86.10 Å³ per cell
* ρ: 9.58 g/cm³
* total magnetic moment: 0.00 μB/cell
* calculated formation energy: -0.15 eV/atom
* space group: I4mm, No. 107

***

(8)
Computed, not measured: Ac3TlZn after structural relaxation at the PBE level of DFT.

Cell and atoms, written as extended XYZ:
```
10
Lattice="2.870 -10.740 0.000 2.870 10.740 0.000 0.000 0.000 5.736" Properties=species:S:1:pos:R:3 pbc="T T T"
Ac 2.870 9.367 4.302
Ac 2.870 5.398 4.302
Ac 2.870 1.428 4.302
Ac 2.870 -1.428 1.434
Ac 2.870 -5.398 1.434
Ac 2.870 -9.367 1.434
Tl 2.870 7.389 1.434
Tl 2.870 -7.389 4.302
Zn 2.870 3.283 1.434
Zn 2.870 -3.283 4.302
```

* calculated volume: 353.68 Å³ per cell
* ρ: 8.93 g/cm³
* total magnetic moment: 0.00 μB/cell
* calculated formation energy: -0.21 eV/atom
* space group: Cmcm, No. 63